A geometry-optimized PuCo4Sb structure. Source: Alexandria, functional GGA-PBE.

Cell: 5.0061 5.0061 5.0061 Å, 60.00 60.00 60.00°
Positions (direct):
1 Pu 0.0000 0.0000 0.0000
2 Co 0.3751 0.3751 0.3751
3 Co 0.3751 0.3751 0.8747
4 Co 0.3751 0.8747 0.3751
5 Co 0.8747 0.3751 0.3751
6 Sb 0.7500 0.7500 0.7500

Summary:
The theoretical density is 11.3 Mg/m³. For the uncorrected formation energy, the calculation gives -0.110 eV/atom. The calculation puts the calculated volume at 14.8 A^3/atom. As for the total moment: 1.025 μB/cell. Its space-group type is F-43m.

=====

A geometry-optimized Pu3Co2Sb4 structure. Source: Alexandria, functional GGA-PBE.

Cell: 7.9073 7.9073 7.2656 Å, 116.70 116.70 32.26°
Positions (direct):
1 Pu 0.0000 0.0000 0.0000
2 Pu 0.2402 0.2402 0.2000
3 Pu 0.7598 0.7598 0.8000
4 Co 0.4063 0.4063 0.0919
5 Co 0.5937 0.5937 0.9081
6 Sb 0.0951 0.0951 0.6978
7 Sb 0.3792 0.3792 0.6892
8 Sb 0.6208 0.6208 0.3108
9 Sb 0.9049 0.9049 0.3022

Summary:
The theoretical density is 10.4 Mg/m³. For the uncorrected formation energy, the calculation gives -0.278 eV/atom. The value obtained for the excess energy over the best structure of this formula in the dataset is 127.6 meV/atom. The calculation puts the calculated volume at 23.8 A^3/atom. As for the total moment: 13.123 μB/cell. Its space-group type is C2/m.

=====

A geometry-optimized Pu4CoSb2 structure. Source: Alexandria, functional GGA-PBE.

Cell: 9.0460 9.0460 9.0460 Å, 149.18 149.18 44.14°
Positions (direct):
1 Pu 0.0000 0.5000 0.5000
2 Pu 0.1719 0.1719 0.0000
3 Pu 0.5000 0.0000 0.5000
4 Pu 0.8281 0.8281 0.0000
5 Co 0.0000 0.0000 0.0000
6 Sb 0.3613 0.3613 0.0000
7 Sb 0.6387 0.6387 0.0000

Summary:
The theoretical density is 11.0 Mg/m³. For the uncorrected formation energy, the calculation gives -0.310 eV/atom. The calculation puts the calculated volume at 27.7 A^3/atom. As for the total moment: 21.598 μB/cell. Its space-group type is I4/mmm.

=====

A geometry-optimized PuSc3Co structure. Source: Alexandria, functional GGA-PBE.

Cell: 4.9115 4.9115 4.9115 Å, 90.00 90.00 90.00°
Positions (direct):
1 Pu 0.0000 0.0000 0.0000
2 Sc 0.0000 0.5000 0.5000
3 Sc 0.5000 0.0000 0.5000
4 Sc 0.5000 0.5000 0.0000
5 Co 0.5000 0.5000 0.5000

Summary:
The theoretical density is 6.1 Mg/m³. The calculation puts the calculated volume at 23.7 A^3/atom. As for the total moment: 6.285 μB/cell. For the formation enthalpy at 0 K, the calculation gives 0.02 eV/atom. Its space-group type is Pm-3m.

=====

A geometry-optimized PuSc3Co8 structure. Source: Alexandria, functional GGA-PBE.

Cell: 8.5049 8.5049 8.5049 Å, 33.59 33.59 33.59°
Positions (direct):
1 Pu 0.0000 0.0000 0.0000
2 Sc 0.3768 0.3768 0.3768
3 Sc 0.5008 0.5008 0.5008
4 Sc 0.8736 0.8736 0.8736
5 Co 0.1874 0.1874 0.1874
6 Co 0.4368 0.4368 0.9372
7 Co 0.4368 0.9372 0.4368
8 Co 0.4396 0.9379 0.9379
9 Co 0.6879 0.6879 0.6879
10 Co 0.9372 0.4368 0.4368
11 Co 0.9379 0.4396 0.9379
12 Co 0.9379 0.9379 0.4396

Summary:
The theoretical density is 8.4 Mg/m³. The calculation puts the calculated volume at 14.0 A^3/atom. As for the total moment: 2.548 μB/cell. For the formation enthalpy at 0 K, the calculation gives -0.30 eV/atom. Its space-group type is R3m.

=====

A geometry-optimized PuSc2Co2 structure. Source: Alexandria, functional GGA-PBE.

Cell: 5.5230 5.5230 7.1239 Å, 100.77 100.77 58.18°
Positions (direct):
1 Pu 0.1419 0.8581 0.7500
2 Pu 0.8581 0.1419 0.2500
3 Sc 0.2117 0.4841 0.3487
4 Sc 0.4841 0.2117 0.8487
5 Sc 0.5159 0.7883 0.1513
6 Sc 0.7883 0.5159 0.6513
7 Co 0.0122 0.7020 0.9940
8 Co 0.2980 0.9878 0.5060
9 Co 0.7020 0.0122 0.4940
10 Co 0.9878 0.2980 0.0060

Summary:
The theoretical density is 8.3 Mg/m³. The calculation puts the calculated volume at 18.0 A^3/atom. As for the total moment: 8.578 μB/cell. For the formation enthalpy at 0 K, the calculation gives -0.19 eV/atom. Its space-group type is C2/c.

=====

A geometry-optimized PuSc5Co4 structure. Source: Alexandria, functional GGA-PBE.

Cell: 3.1379 3.1379 17.4895 Å, 90.00 90.00 90.00°
Positions (direct):
1 Pu 0.0000 0.0000 0.0000
2 Sc 0.5000 0.5000 0.1471
3 Sc 0.5000 0.5000 0.3231
4 Sc 0.5000 0.5000 0.5000
5 Sc 0.5000 0.5000 0.6769
6 Sc 0.5000 0.5000 0.8529
7 Co 0.0000 0.0000 0.2318
8 Co 0.0000 0.0000 0.4112
9 Co 0.0000 0.0000 0.5888
10 Co 0.0000 0.0000 0.7682

Summary:
The theoretical density is 6.8 Mg/m³. The calculation puts the calculated volume at 17.2 A^3/atom. As for the total moment: 4.864 μB/cell. For the formation enthalpy at 0 K, the calculation gives -0.27 eV/atom. Its space-group type is P4/mmm.

=====

A geometry-optimized PuScCo2 structure. Source: Alexandria, functional GGA-PBE.

Cell: 4.5582 4.5582 3.1924 Å, 90.00 90.00 90.00°
Positions (direct):
1 Pu 0.0000 0.0000 0.0000
2 Sc 0.5000 0.5000 0.0000
3 Co 0.0000 0.5000 0.5000
4 Co 0.5000 0.0000 0.5000

Summary:
The theoretical density is 10.2 Mg/m³. The calculation puts the calculated volume at 16.6 A^3/atom. As for the total moment: 3.737 μB/cell. For the formation enthalpy at 0 K, the calculation gives -0.12 eV/atom. Its space-group type is P4/mmm.

=====

A geometry-optimized PuSc2Co9 structure. Source: Alexandria, functional GGA-PBE.

Cell: 8.4311 8.4311 8.4311 Å, 33.51 33.51 33.51°
Positions (direct):
1 Pu 0.0000 0.0000 0.0000
2 Sc 0.1408 0.1408 0.1408
3 Sc 0.8592 0.8592 0.8592
4 Co 0.0792 0.5869 0.5869
5 Co 0.3349 0.3349 0.3349
6 Co 0.4131 0.4131 0.9208
7 Co 0.4131 0.9208 0.4131
8 Co 0.5000 0.5000 0.5000
9 Co 0.5869 0.0792 0.5869
10 Co 0.5869 0.5869 0.0792
11 Co 0.6651 0.6651 0.6651
12 Co 0.9208 0.4131 0.4131

Summary:
The theoretical density is 8.8 Mg/m³. The calculation puts the calculated volume at 13.6 A^3/atom. As for the total moment: 14.469 μB/cell. For the formation enthalpy at 0 K, the calculation gives -0.14 eV/atom. Its space-group type is R-3m.

=====

A geometry-optimized PuScCo2 structure. Source: Alexandria, functional GGA-PBE.

Cell: 4.1595 4.1595 4.9872 Å, 114.60 114.60 60.14°
Positions (direct):
1 Pu 0.0000 0.0000 0.0000
2 Sc 0.5000 0.5000 0.5000
3 Co 0.2904 0.2904 0.8701
4 Co 0.7096 0.7096 0.1299

Summary:
The theoretical density is 10.3 Mg/m³. The calculation puts the calculated volume at 16.4 A^3/atom. As for the total moment: 0.021 μB/cell. For the formation enthalpy at 0 K, the calculation gives 0.18 eV/atom. Its space-group type is C2/m.

=====

A geometry-optimized PuScCo10 structure. Source: Alexandria, functional GGA-PBE.

Cell: 3.9659 4.8241 8.3508 Å, 90.00 90.00 90.00°
Positions (direct):
1 Pu 0.0000 0.0000 0.0000
2 Sc 0.0000 0.5000 0.5000
3 Co 0.0000 0.0000 0.3364
4 Co 0.0000 0.0000 0.6636
5 Co 0.0000 0.5000 0.1701
6 Co 0.0000 0.5000 0.8299
7 Co 0.5000 0.0000 0.5000
8 Co 0.5000 0.2517 0.2528
9 Co 0.5000 0.2517 0.7472
10 Co 0.5000 0.5000 0.0000
11 Co 0.5000 0.7483 0.2528
12 Co 0.5000 0.7483 0.7472

Summary:
The theoretical density is 9.1 Mg/m³. The calculation puts the calculated volume at 13.3 A^3/atom. As for the total moment: 9.096 μB/cell. For the formation enthalpy at 0 K, the calculation gives -0.09 eV/atom. Its space-group type is Pmmm.

=====

A geometry-optimized PuScZnCo structure. Source: Alexandria, functional GGA-PBE.

Cell: 4.7387 4.7387 4.7387 Å, 60.00 60.00 60.00°
Positions (direct):
1 Pu 0.0000 0.0000 0.0000
2 Sc 0.5000 0.5000 0.5000
3 Zn 0.7500 0.7500 0.7500
4 Co 0.2500 0.2500 0.2500

Summary:
The theoretical density is 9.1 Mg/m³. The calculation puts the calculated volume at 18.8 A^3/atom. As for the total moment: 4.747 μB/cell. For the formation enthalpy at 0 K, the calculation gives -0.08 eV/atom. Its space-group type is F-43m.

=====

A geometry-optimized Pu2Tl3CoSe6 structure. Source: Alexandria, functional GGA-PBE.

Cell: 6.9323 6.9323 8.0936 Å, 98.25 98.25 119.92°
Positions (direct):
1 Pu 0.1647 0.8353 0.0000
2 Pu 0.8353 0.1647 0.0000
3 Tl 0.0000 0.0000 0.5000
4 Tl 0.3204 0.6796 0.5000
5 Tl 0.6796 0.3204 0.5000
6 Co 0.5000 0.5000 0.0000
7 Se 0.1383 0.4385 0.8117
8 Se 0.2646 0.2646 0.2030
9 Se 0.4385 0.1383 0.8117
10 Se 0.5615 0.8617 0.1883
11 Se 0.7354 0.7354 0.7970
12 Se 0.8617 0.5615 0.1883

Summary:
The theoretical density is 8.4 Mg/m³. For the uncorrected formation energy, the calculation gives -0.744 eV/atom. The calculation puts the calculated volume at 26.9 A^3/atom. As for the total moment: 9.912 μB/cell. Its space-group type is C2/m.

=====

A geometry-optimized Pu3Tl3CoSe8 structure. Source: Alexandria, functional GGA-PBE.

Cell: 9.1712 9.1712 9.1712 Å, 52.36 52.36 52.36°
Positions (direct):
1 Pu 0.0000 0.5000 0.5000
2 Pu 0.5000 0.0000 0.5000
3 Pu 0.5000 0.5000 0.0000
4 Tl 0.0000 0.0000 0.5000
5 Tl 0.0000 0.5000 0.0000
6 Tl 0.5000 0.0000 0.0000
7 Co 0.0000 0.0000 0.0000
8 Se 0.2089 0.2089 0.7648
9 Se 0.2089 0.7648 0.2089
10 Se 0.2352 0.7911 0.7911
11 Se 0.2642 0.2642 0.2642
12 Se 0.7358 0.7358 0.7358
13 Se 0.7648 0.2089 0.2089
14 Se 0.7911 0.2352 0.7911
15 Se 0.7911 0.7911 0.2352

Summary:
The theoretical density is 7.6 Mg/m³. For the uncorrected formation energy, the calculation gives -0.856 eV/atom. The calculation puts the calculated volume at 29.8 A^3/atom. As for the total moment: 13.970 μB/cell. Its space-group type is R-3m.

=====

A geometry-optimized Pu3Co2Si7 structure. Source: Alexandria, functional GGA-PBE.

Cell: 3.9997 4.0359 12.3969 Å, 90.00 99.27 90.00°
Positions (direct):
1 Pu 0.0000 0.0000 0.0000
2 Pu 0.3157 0.5000 0.6315
3 Pu 0.6843 0.5000 0.3685
4 Co 0.1273 0.0000 0.2559
5 Co 0.8727 0.0000 0.7441
6 Si 0.0874 0.5000 0.1741
7 Si 0.2214 0.0000 0.4427
8 Si 0.4138 0.0000 0.8265
9 Si 0.5000 0.5000 0.0000
10 Si 0.5862 0.0000 0.1735
11 Si 0.7786 0.0000 0.5573
12 Si 0.9126 0.5000 0.8259

Summary:
The theoretical density is 8.8 Mg/m³. For the uncorrected formation energy, the calculation gives -0.537 eV/atom. The calculation puts the calculated volume at 16.5 A^3/atom. As for the total moment: 14.742 μB/cell. Its space-group type is P2/m.

=====

A geometry-optimized Pu3Co3Si2 structure. Source: Alexandria, functional GGA-PBE.

Cell: 7.2449 13.9257 5.5369 Å, 90.00 90.00 90.00°
Positions (direct):
1 Pu 0.0217 0.1092 0.1477
2 Pu 0.0217 0.3908 0.1477
3 Pu 0.1637 0.2500 0.5920
4 Pu 0.3363 0.7500 0.0920
5 Pu 0.4783 0.6092 0.6477
6 Pu 0.4783 0.8908 0.6477
7 Pu 0.5217 0.1092 0.3523
8 Pu 0.5217 0.3908 0.3523
9 Pu 0.6637 0.2500 0.9080
10 Pu 0.8363 0.7500 0.4080
11 Pu 0.9783 0.6092 0.8523
12 Pu 0.9783 0.8908 0.8523
13 Co 0.1599 0.0346 0.5923
14 Co 0.1599 0.4654 0.5923
15 Co 0.1940 0.7500 0.5527
16 Co 0.3060 0.2500 0.0527
17 Co 0.3401 0.5346 0.0923
18 Co 0.3401 0.9654 0.0923
19 Co 0.6599 0.0346 0.9077
20 Co 0.6599 0.4654 0.9077
21 Co 0.6940 0.7500 0.9473
22 Co 0.8060 0.2500 0.4473
23 Co 0.8401 0.5346 0.4077
24 Co 0.8401 0.9654 0.4077
25 Si 0.1308 0.5986 0.3518
26 Si 0.1308 0.9014 0.3518
27 Si 0.3692 0.0986 0.8518
28 Si 0.3692 0.4014 0.8518
29 Si 0.6308 0.5986 0.1482
30 Si 0.6308 0.9014 0.1482
31 Si 0.8692 0.0986 0.6482
32 Si 0.8692 0.4014 0.6482

Summary:
The theoretical density is 11.5 Mg/m³. For the uncorrected formation energy, the calculation gives -0.362 eV/atom. The calculation puts the calculated volume at 17.5 A^3/atom. As for the total moment: 58.834 μB/cell. Its space-group type is Pnma.

=====

A geometry-optimized PuCo4Si structure. Source: Alexandria, functional GGA-PBE.

Cell: 7.3675 7.3675 6.1249 Å, 90.00 90.00 151.36°
Positions (direct):
1 Pu 0.1069 0.8931 0.7500
2 Pu 0.8931 0.1069 0.2500
3 Co 0.0744 0.9256 0.2500
4 Co 0.3216 0.6784 0.5516
5 Co 0.3216 0.6784 0.9484
6 Co 0.5000 0.5000 0.0000
7 Co 0.5000 0.5000 0.5000
8 Co 0.6784 0.3216 0.0516
9 Co 0.6784 0.3216 0.4484
10 Co 0.9256 0.0744 0.7500
11 Si 0.2311 0.7689 0.2500
12 Si 0.7689 0.2311 0.7500

Summary:
The theoretical density is 10.6 Mg/m³. For the uncorrected formation energy, the calculation gives -0.204 eV/atom. The calculation puts the calculated volume at 13.3 A^3/atom. As for the total moment: 3.745 μB/cell. Its space-group type is Cmcm.

=====

A geometry-optimized Pu2CoSi2 structure. Source: Alexandria, functional GGA-PBE.

Cell: 5.5802 5.5802 9.7859 Å, 117.71 117.71 43.72°
Positions (direct):
1 Pu 0.0950 0.0950 0.4034
2 Pu 0.3345 0.3345 0.8125
3 Pu 0.6655 0.6655 0.1875
4 Pu 0.9050 0.9050 0.5966
5 Co 0.3407 0.3407 0.1092
6 Co 0.6593 0.6593 0.8908
7 Si 0.0875 0.0875 0.9380
8 Si 0.3804 0.3804 0.3683
9 Si 0.6196 0.6196 0.6317
10 Si 0.9125 0.9125 0.0620

Summary:
The theoretical density is 11.0 Mg/m³. For the uncorrected formation energy, the calculation gives -0.474 eV/atom. The calculation puts the calculated volume at 18.2 A^3/atom. As for the total moment: 21.451 μB/cell. Its space-group type is C2/m.

=====

A geometry-optimized PuCo3Si structure. Source: Alexandria, functional GGA-PBE.

Cell: 5.9097 5.9097 5.9097 Å, 130.22 105.57 94.92°
Positions (direct):
1 Pu 0.2650 0.0150 0.2500
2 Pu 0.7350 0.9850 0.7500
3 Co 0.0644 0.3144 0.7500
4 Co 0.2862 0.0000 0.7862
5 Co 0.2862 0.5000 0.2862
6 Co 0.7138 0.0000 0.2138
7 Co 0.7138 0.5000 0.7138
8 Co 0.9356 0.6856 0.2500
9 Si 0.0000 0.5000 0.5000
10 Si 0.5000 0.5000 0.0000

Summary:
The theoretical density is 10.5 Mg/m³. For the uncorrected formation energy, the calculation gives -0.220 eV/atom. The calculation puts the calculated volume at 14.2 A^3/atom. As for the total moment: 5.761 μB/cell. Its space-group type is Imma.

=====

A geometry-optimized Pu2Co2Si structure. Source: Alexandria, functional GGA-PBE.

Cell: 5.2470 5.2470 5.2470 Å, 134.70 121.15 77.25°
Positions (direct):
1 Pu 0.2057 0.2057 0.0000
2 Pu 0.7943 0.7943 0.0000
3 Co 0.2372 0.5000 0.7372
4 Co 0.7628 0.5000 0.2628
5 Si 0.5000 0.0000 0.5000

Summary:
The theoretical density is 12.3 Mg/m³. For the uncorrected formation energy, the calculation gives -0.316 eV/atom. The calculation puts the calculated volume at 17.1 A^3/atom. As for the total moment: 9.066 μB/cell. Its space-group type is Immm.